#A
The following is a DFT calculation (PBE-GGA) of a relaxed YZr2Sc8 crystal.

Summary:
- Calculated volume: 25.12 A^3/atom
- N(E_F): 1.19 states/eV per atom
- M_tot: 0.00 μB/f.u.

Lattice parameters (Å, degrees): 5.4145 8.4532 8.7369 61.07 72.73 52.14
Closest atoms and distances in Å follow each position.
Atoms (fractional coordinates):
Y1 0.5000 0.0000 0.0000  4 Sc 3.17-3.29
Sc1 0.2052 0.9031 0.7416  5 Sc 2.99-3.27, 2 Zr 3.14-3.26
Sc2 0.2734 0.4610 0.0000  2 Sc 2.61-2.91
Sc3 0.2052 0.6447 0.2584  5 Sc 2.99-3.27, 2 Zr 3.14-3.26
Sc4 0.5000 0.7926 0.4148  6 Sc 3.10-3.37, 4 Zr 3.12-3.35, 1 Y 3.17
Sc5 0.7948 0.0969 0.2584  5 Sc 2.99-3.27, 2 Zr 3.14-3.26
Sc6 0.7266 0.5390 0.0000  2 Sc 2.61-2.91
Sc7 0.7948 0.3553 0.7416  5 Sc 2.99-3.27, 2 Zr 3.14-3.26
Sc8 0.5000 0.2074 0.5852  6 Sc 3.10-3.37, 4 Zr 3.12-3.35, 1 Y 3.17
Zr1 0.0000 0.6909 0.6181  10 Sc 3.12-3.35
Zr2 0.0000 0.3091 0.3819  10 Sc 3.12-3.35

#B
The following is a DFT calculation (PBE-GGA) of a relaxed YZr2Sc8 crystal.

Summary:
- Calculated volume: 25.45 A^3/atom
- N(E_F): 1.46 states/eV per atom
- M_tot: 0.00 μB/f.u.

Lattice parameters (Å, degrees): 5.8089 6.0724 8.5056 110.91 92.35 90.00
Closest atoms and distances in Å follow each position.
Atoms (fractional coordinates):
Sc1 0.4749 0.1542 0.8048  2 Zr 2.99-3.09, 6 Sc 3.01-3.30
Sc2 0.1785 0.2103 0.4205  4 Zr 2.94-3.20, 3 Sc 3.15-3.24
Sc3 0.5251 0.8458 0.1952  2 Zr 2.99-3.09, 6 Sc 3.01-3.30
Sc4 0.5251 0.3494 0.1952  2 Zr 2.99-3.09, 6 Sc 3.01-3.30
Sc5 0.4749 0.6506 0.8048  2 Zr 2.99-3.09, 6 Sc 3.01-3.30
Sc6 0.9789 0.3972 0.7945  1 Zr 2.84
Sc7 0.8215 0.7897 0.5795  4 Zr 2.94-3.20, 3 Sc 3.15-3.24
Sc8 0.0211 0.6028 0.2055  1 Zr 2.84
Zr1 0.3237 0.7477 0.4955  7 Sc 2.84-3.09
Zr2 0.6763 0.2523 0.5045  7 Sc 2.84-3.09
Y1 0.0000 0.0000 0.0000  14 Sc 3.45-3.69

Energies relative to the most stable structure are #A 6; #B 0, reported in meV/atom.